(1)
Material: KAlSi
Method: DFT, GGA-PBE
State: optimized geometry

Unit cell a=4.749 b=11.433 c=4.210 alpha=87.58 beta=55.77 gamma=78.00
Atoms (fractional coordinates):
1 K 0.938 0.421 0.308
2 K 0.140 0.783 0.538
3 Si 0.670 0.997 0.267
4 Si 0.408 0.207 0.579
5 Al 0.804 0.167 0.828
6 Al 0.274 0.037 0.018

Values from the calculation:
The calculation puts the total energy at -3.394 eV/atom. As for the volume: 30.7 Å³/atom. The value obtained for the uncorrected formation energy is 0.027 eV per atom.

=====

(2)
Material: KAlSi
Method: DFT, GGA-PBE
State: optimized geometry

Unit cell a=4.247 b=4.247 c=11.004 alpha=90.00 beta=90.00 gamma=120.00
Atoms (fractional coordinates):
1 K 0.000 0.000 0.000
2 K 0.000 0.000 0.500
3 Si 0.333 0.667 0.750
4 Si 0.667 0.333 0.250
5 Al 0.333 0.667 0.250
6 Al 0.667 0.333 0.750

Values from the calculation:
The calculation puts the total energy at -3.466 eV/atom. As for the volume: 28.6 Å³/atom. The value obtained for the uncorrected formation energy is -0.045 eV per atom.

=====

(3)
Material: KAlSi
Method: DFT, GGA-PBE
State: optimized geometry

Unit cell a=3.326 b=3.326 c=7.618 alpha=90.00 beta=90.00 gamma=120.00
Atoms (fractional coordinates):
1 K 0.667 0.333 0.344
2 Si 0.333 0.667 0.707
3 Al 0.000 0.000 0.949

Values from the calculation:
The calculation puts the total energy at -2.986 eV/atom. As for the volume: 24.3 Å³/atom. The value obtained for the uncorrected formation energy is 0.435 eV per atom.

=====

(4)
Material: KAlSi
Method: DFT, GGA-PBE
State: optimized geometry

Unit cell a=7.523 b=7.523 c=7.523 alpha=156.28 beta=156.28 gamma=33.79
Atoms (fractional coordinates):
1 K 0.328 0.328 0.000
2 Si 0.645 0.645 0.000
3 Al 0.027 0.027 0.000

Values from the calculation:
The calculation puts the total energy at -3.118 eV/atom. As for the volume: 22.9 Å³/atom. The value obtained for the uncorrected formation energy is 0.303 eV per atom.